(1)
Entry from Alexandria: a relaxed structure of Cd2AsSe (PBE).

The space group is Pmmm (No. 47) and the conventional cell measures 3.8684, 4.1133 and 5.8711 Å, with angles of 90.00, 90.00 and 90.00 degrees. The inequivalent atoms are Cd at (0.0000, 0.0000, 0.0000), Cd at (0.0000, 0.5000, 0.5000), As at (0.5000, 0.0000, 0.5000) and Se at (0.5000, 0.5000, 0.0000).

The calculation puts the energy relative to the elements, uncorrected at 0.37 eV per formula unit. Its total energy is -9.59 eV for the cell shown.

(2)
Entry from Alexandria: a relaxed structure of Er2ZnRu (PBE).

The space group is R-3m (No. 166, hexagonal axes) and the conventional cell measures 3.7748, 3.7748 and 28.3290 Å, with angles of 90.00, 90.00 and 120.00 degrees. The inequivalent atoms are Er at (0.0000, 0.0000, 0.1107), Zn at (0.0000, 0.0000, 0.0000) and Ru at (0.0000, 0.0000, 0.5000).

The value obtained for the formation energy is 0.13 eV per atom. Its total energy is -57.52 eV for the cell shown.